1.
An optimized crystal structure of Tm3Co2Rh, computed with PBE-GGA.

Cell and atoms, written as POSCAR:
```
Tm3Co2Rh
1.0
3.317 0.000 0.000
0.000 3.317 0.000
0.000 0.000 9.960
Tm Co Rh
3 2 1
Direct
0.000 0.000 0.000
0.000 0.000 0.327
0.000 0.000 0.673
0.500 0.500 0.165
0.500 0.500 0.835
0.500 0.500 0.500
```

Computed properties:
Magnetization (μB per atom): 0.099
Volume (Å³/cell): 109.6
Calculated density (Mg/m³): 11.02
E_form (eV per atom): -0.472



2.
An optimized crystal structure of Rb4Zr3Se14, computed with PBE-GGA.

Cell and atoms, written as POSCAR:
```
Rb4Zr3Se14
1.0
11.464 -4.387 0.000
11.464 4.387 0.000
-5.355 0.000 13.597
Rb Zr Se
8 6 28
Direct
0.017 0.376 0.603
0.180 0.681 0.852
0.319 0.820 0.648
0.376 0.017 0.103
0.624 0.983 0.897
0.681 0.180 0.352
0.820 0.319 0.148
0.983 0.624 0.397
0.075 0.589 0.087
0.238 0.762 0.250
0.411 0.925 0.413
0.589 0.075 0.587
0.762 0.238 0.750
0.925 0.411 0.913
0.006 0.430 0.103
0.074 0.090 0.866
0.090 0.074 0.366
0.127 0.800 0.403
0.153 0.198 0.328
0.198 0.153 0.828
0.200 0.873 0.097
0.257 0.543 0.283
0.303 0.405 0.610
0.340 0.531 0.079
0.405 0.303 0.110
0.430 0.006 0.603
0.457 0.743 0.217
0.469 0.660 0.421
0.531 0.340 0.579
0.543 0.257 0.783
0.570 0.994 0.397
0.595 0.697 0.890
0.660 0.469 0.921
0.697 0.595 0.390
0.743 0.457 0.717
0.800 0.127 0.903
0.802 0.847 0.172
0.847 0.802 0.672
0.873 0.200 0.597
0.910 0.926 0.634
0.926 0.910 0.134
0.994 0.570 0.897
```

Computed properties:
Magnetization (μB per atom): 0.000
Volume (Å³/cell): 1367.7
Calculated density (Mg/m³): 4.18
Energy relative to the elements, uncorrected (eV/atom): -1.039



Q: Among the records above, which one has the highest magnetization?
A: Tm3Co2Rh